# Pm2In3Pt (GGA-PBE, relaxed)
data_Pm2In3Pt
_cell_length_a 6.072
_cell_length_b 6.072
_cell_length_c 9.759
_cell_angle_alpha 113.32
_cell_angle_beta 113.32
_cell_angle_gamma 74.19
_symmetry_space_group_name_H-M 'P 1'
_symmetry_Int_Tables_number 1
loop_
_symmetry_equiv_pos_as_xyz
'x,y,z'
loop_
_atom_site_label
_atom_site_type_symbol
_atom_site_fract_x
_atom_site_fract_y
_atom_site_fract_z
Pm1 Pm 0.750 0.250 0.500
Pm2 Pm 0.744 0.256 0.000
Pm3 Pm 0.250 0.750 0.500
Pm4 Pm 0.256 0.744 0.000
In1 In 0.827 0.827 0.171
In2 In 0.656 0.656 0.829
In3 In 0.173 0.173 0.829
In4 In 0.344 0.344 0.171
In5 In 0.169 0.169 0.339
In6 In 0.831 0.831 0.661
Pt1 Pt 0.670 0.670 0.341
Pt2 Pt 0.330 0.330 0.659
# - Space group: No. 69
# - Size of the total moment: 0.00 μB/atom
# - Calculated formation energy: -636 meV/atom
# - DOS(E_F): 0.7059 states/eV/atom


# PmIn5Pt (GGA-PBE, relaxed)
data_PmIn5Pt
_cell_length_a 4.757
_cell_length_b 4.757
_cell_length_c 7.539
_cell_angle_alpha 90.00
_cell_angle_beta 90.00
_cell_angle_gamma 90.00
_symmetry_space_group_name_H-M 'P 1'
_symmetry_Int_Tables_number 1
loop_
_symmetry_equiv_pos_as_xyz
'x,y,z'
loop_
_atom_site_label
_atom_site_type_symbol
_atom_site_fract_x
_atom_site_fract_y
_atom_site_fract_z
Pm1 Pm 0.000 0.000 0.000
In1 In 0.500 0.000 0.702
In2 In 0.000 0.500 0.702
In3 In 0.500 0.500 0.000
In4 In 0.000 0.500 0.298
In5 In 0.500 0.000 0.298
Pt1 Pt 0.000 0.000 0.500
# - Space group: No. 123
# - Size of the total moment: 0.00 μB/atom
# - Calculated formation energy: -462 meV/atom
# - DOS(E_F): 0.5223 states/eV/atom


# Pm2InPt5 (GGA-PBE, relaxed)
data_Pm2InPt5
_cell_length_a 5.953
_cell_length_b 5.953
_cell_length_c 5.953
_cell_angle_alpha 99.63
_cell_angle_beta 114.61
_cell_angle_gamma 114.61
_symmetry_space_group_name_H-M 'P 1'
_symmetry_Int_Tables_number 1
loop_
_symmetry_equiv_pos_as_xyz
'x,y,z'
loop_
_atom_site_label
_atom_site_type_symbol
_atom_site_fract_x
_atom_site_fract_y
_atom_site_fract_z
Pm1 Pm 0.500 0.260 0.760
Pm2 Pm 0.500 0.760 0.260
In1 In 0.000 0.877 0.877
Pt1 Pt 0.441 0.739 0.739
Pt2 Pt 0.000 0.739 0.298
Pt3 Pt 0.000 0.298 0.739
Pt4 Pt 0.559 0.298 0.298
Pt5 Pt 0.000 0.251 0.251
# - Space group: No. 107
# - Size of the total moment: 0.00 μB/atom
# - Calculated formation energy: -808 meV/atom
# - DOS(E_F): 0.4133 states/eV/atom


# PmIn12Pt6 (GGA-PBE, relaxed)
data_PmIn12Pt6
_cell_length_a 7.882
_cell_length_b 7.882
_cell_length_c 7.882
_cell_angle_alpha 105.41
_cell_angle_beta 105.41
_cell_angle_gamma 105.41
_symmetry_space_group_name_H-M 'P 1'
_symmetry_Int_Tables_number 1
loop_
_symmetry_equiv_pos_as_xyz
'x,y,z'
loop_
_atom_site_label
_atom_site_type_symbol
_atom_site_fract_x
_atom_site_fract_y
_atom_site_fract_z
Pm1 Pm 0.000 0.000 0.000
In1 In 0.884 0.116 0.500
In2 In 0.851 0.598 0.598
In3 In 0.598 0.598 0.851
In4 In 0.402 0.149 0.402
In5 In 0.402 0.402 0.149
In6 In 0.149 0.402 0.402
In7 In 0.116 0.500 0.884
In8 In 0.500 0.884 0.116
In9 In 0.116 0.884 0.500
In10 In 0.884 0.500 0.116
In11 In 0.500 0.116 0.884
In12 In 0.598 0.851 0.598
Pt1 Pt 0.707 0.277 0.277
Pt2 Pt 0.277 0.277 0.707
Pt3 Pt 0.277 0.707 0.277
Pt4 Pt 0.723 0.723 0.293
Pt5 Pt 0.293 0.723 0.723
Pt6 Pt 0.723 0.293 0.723
# - Space group: No. 166
# - Size of the total moment: 0.00 μB/atom
# - Calculated formation energy: -358 meV/atom
# - DOS(E_F): 0.4114 states/eV/atom


# Pm5In4Pt (GGA-PBE, relaxed)
data_Pm5In4Pt
_cell_length_a 3.629
_cell_length_b 3.629
_cell_length_c 20.782
_cell_angle_alpha 90.00
_cell_angle_beta 90.00
_cell_angle_gamma 90.00
_symmetry_space_group_name_H-M 'P 1'
_symmetry_Int_Tables_number 1
loop_
_symmetry_equiv_pos_as_xyz
'x,y,z'
loop_
_atom_site_label
_atom_site_type_symbol
_atom_site_fract_x
_atom_site_fract_y
_atom_site_fract_z
Pm1 Pm 0.500 0.500 0.083
Pm2 Pm 0.500 0.500 0.292
Pm3 Pm 0.500 0.500 0.500
Pm4 Pm 0.500 0.500 0.708
Pm5 Pm 0.500 0.500 0.917
In1 In 0.000 0.000 0.190
In2 In 0.000 0.000 0.397
In3 In 0.000 0.000 0.603
In4 In 0.000 0.000 0.810
Pt1 Pt 0.000 0.000 0.000
# - Space group: No. 123
# - Size of the total moment: 0.00 μB/atom
# - Calculated formation energy: -618 meV/atom
# - DOS(E_F): 0.4403 states/eV/atom


# Pm3In2Pt4 (GGA-PBE, relaxed)
data_Pm3In2Pt4
_cell_length_a 4.515
_cell_length_b 5.532
_cell_length_c 9.116
_cell_angle_alpha 93.67
_cell_angle_beta 90.00
_cell_angle_gamma 114.08
_symmetry_space_group_name_H-M 'P 1'
_symmetry_Int_Tables_number 1
loop_
_symmetry_equiv_pos_as_xyz
'x,y,z'
loop_
_atom_site_label
_atom_site_type_symbol
_atom_site_fract_x
_atom_site_fract_y
_atom_site_fract_z
Pm1 Pm 0.375 0.749 0.613
Pm2 Pm 0.000 0.000 0.000
Pm3 Pm 0.625 0.251 0.387
In1 In 0.323 0.646 0.217
In2 In 0.677 0.354 0.783
Pt1 Pt 0.706 0.413 0.088
Pt2 Pt 0.082 0.163 0.626
Pt3 Pt 0.918 0.837 0.374
Pt4 Pt 0.294 0.587 0.912
# - Space group: No. 12
# - Size of the total moment: 0.00 μB/atom
# - Calculated formation energy: -930 meV/atom
# - DOS(E_F): 0.6112 states/eV/atom


# Pm7In2Pt (GGA-PBE, relaxed)
data_Pm7In2Pt
_cell_length_a 7.877
_cell_length_b 7.877
_cell_length_c 7.877
_cell_angle_alpha 60.00
_cell_angle_beta 60.00
_cell_angle_gamma 60.00
_symmetry_space_group_name_H-M 'P 1'
_symmetry_Int_Tables_number 1
loop_
_symmetry_equiv_pos_as_xyz
'x,y,z'
loop_
_atom_site_label
_atom_site_type_symbol
_atom_site_fract_x
_atom_site_fract_y
_atom_site_fract_z
Pm1 Pm 0.500 0.500 0.500
Pm2 Pm 0.246 0.754 0.754
Pm3 Pm 0.246 0.754 0.246
Pm4 Pm 0.754 0.246 0.754
Pm5 Pm 0.754 0.754 0.246
Pm6 Pm 0.246 0.246 0.754
Pm7 Pm 0.754 0.246 0.246
In1 In 0.250 0.250 0.250
In2 In 0.750 0.750 0.750
Pt1 Pt 0.000 0.000 0.000
# - Space group: No. 225
# - Size of the total moment: 0.00 μB/atom
# - Calculated formation energy: 103 meV/atom
# - DOS(E_F): 1.2452 states/eV/atom


# Pm2In3Pt4 (GGA-PBE, relaxed)
data_Pm2In3Pt4
_cell_length_a 7.464
_cell_length_b 7.369
_cell_length_c 7.500
_cell_angle_alpha 90.00
_cell_angle_beta 90.00
_cell_angle_gamma 109.89
_symmetry_space_group_name_H-M 'P 1'
_symmetry_Int_Tables_number 1
loop_
_symmetry_equiv_pos_as_xyz
'x,y,z'
loop_
_atom_site_label
_atom_site_type_symbol
_atom_site_fract_x
_atom_site_fract_y
_atom_site_fract_z
Pm1 Pm 0.560 0.193 0.322
Pm2 Pm 0.940 0.807 0.822
Pm3 Pm 0.440 0.807 0.678
Pm4 Pm 0.060 0.193 0.178
In1 In 0.000 0.500 0.500
In2 In 0.500 0.500 0.000
In3 In 0.747 0.247 0.844
In4 In 0.753 0.753 0.344
In5 In 0.253 0.753 0.156
In6 In 0.247 0.247 0.656
Pt1 Pt 0.842 0.082 0.544
Pt2 Pt 0.658 0.918 0.044
Pt3 Pt 0.158 0.918 0.456
Pt4 Pt 0.342 0.082 0.956
Pt5 Pt 0.867 0.505 0.133
Pt6 Pt 0.633 0.495 0.633
Pt7 Pt 0.133 0.495 0.867
Pt8 Pt 0.367 0.505 0.367
# - Space group: No. 14
# - Size of the total moment: 0.00 μB/atom
# - Calculated formation energy: -820 meV/atom
# - DOS(E_F): 0.5842 states/eV/atom


# Pm3InPt4 (GGA-PBE, relaxed)
data_Pm3InPt4
_cell_length_a 3.977
_cell_length_b 6.653
_cell_length_c 8.393
_cell_angle_alpha 113.35
_cell_angle_beta 103.70
_cell_angle_gamma 90.00
_symmetry_space_group_name_H-M 'P 1'
_symmetry_Int_Tables_number 1
loop_
_symmetry_equiv_pos_as_xyz
'x,y,z'
loop_
_atom_site_label
_atom_site_type_symbol
_atom_site_fract_x
_atom_site_fract_y
_atom_site_fract_z
Pm1 Pm 0.192 0.192 0.384
Pm2 Pm 0.808 0.808 0.616
Pm3 Pm 0.000 0.500 0.000
In1 In 0.500 0.000 0.000
Pt1 Pt 0.375 0.173 0.749
Pt2 Pt 0.625 0.827 0.251
Pt3 Pt 0.625 0.424 0.251
Pt4 Pt 0.375 0.576 0.749
# - Space group: No. 71
# - Size of the total moment: 0.00 μB/atom
# - Calculated formation energy: -939 meV/atom
# - DOS(E_F): 0.6391 states/eV/atom


# Pm2InSb3Pt4 (GGA-PBE, relaxed)
data_Pm2InSb3Pt4
_cell_length_a 4.498
_cell_length_b 4.498
_cell_length_c 11.149
_cell_angle_alpha 90.00
_cell_angle_beta 90.00
_cell_angle_gamma 90.00
_symmetry_space_group_name_H-M 'P 1'
_symmetry_Int_Tables_number 1
loop_
_symmetry_equiv_pos_as_xyz
'x,y,z'
loop_
_atom_site_label
_atom_site_type_symbol
_atom_site_fract_x
_atom_site_fract_y
_atom_site_fract_z
Pm1 Pm 0.500 0.000 0.228
Pm2 Pm 0.000 0.500 0.772
In1 In 0.500 0.500 0.500
Sb1 Sb 0.000 0.000 0.500
Sb2 Sb 0.500 0.000 0.867
Sb3 Sb 0.000 0.500 0.133
Pt1 Pt 0.500 0.500 0.000
Pt2 Pt 0.000 0.000 0.000
Pt3 Pt 0.500 0.000 0.636
Pt4 Pt 0.000 0.500 0.364
# - Space group: No. 115
# - Size of the total moment: 0.00 μB/atom
# - Uncorrected energy: -5.696 eV/atom
# - DOS(E_F): 0.2914 states/eV/atom


# PmScInPt (GGA-PBE, relaxed)
data_PmScInPt
_cell_length_a 5.068
_cell_length_b 5.068
_cell_length_c 5.068
_cell_angle_alpha 60.00
_cell_angle_beta 60.00
_cell_angle_gamma 60.00
_symmetry_space_group_name_H-M 'P 1'
_symmetry_Int_Tables_number 1
loop_
_symmetry_equiv_pos_as_xyz
'x,y,z'
loop_
_atom_site_label
_atom_site_type_symbol
_atom_site_fract_x
_atom_site_fract_y
_atom_site_fract_z
Sc1 Sc 0.750 0.750 0.750
In1 In 0.000 0.000 0.000
Pt1 Pt 0.500 0.500 0.500
Pm1 Pm 0.250 0.250 0.250
# - Space group: No. 216
# - Size of the total moment: 0.00 μB/atom
# - Calculated formation energy: -671 meV/atom
# - DOS(E_F): 0.7102 states/eV/atom


# Pm2InSiPt6 (GGA-PBE, relaxed)
data_Pm2InSiPt6
_cell_length_a 5.589
_cell_length_b 8.544
_cell_length_c 8.740
_cell_angle_alpha 90.00
_cell_angle_beta 90.00
_cell_angle_gamma 90.00
_symmetry_space_group_name_H-M 'P 1'
_symmetry_Int_Tables_number 1
loop_
_symmetry_equiv_pos_as_xyz
'x,y,z'
loop_
_atom_site_label
_atom_site_type_symbol
_atom_site_fract_x
_atom_site_fract_y
_atom_site_fract_z
Pm1 Pm 0.500 0.738 0.246
Pm2 Pm 0.000 0.262 0.746
Pm3 Pm 0.500 0.738 0.754
Pm4 Pm 0.000 0.262 0.254
In1 In 0.000 0.712 0.500
In2 In 0.500 0.288 0.000
Si1 Si 0.500 0.229 0.500
Si2 Si 0.000 0.771 0.000
Pt1 Pt 0.500 0.102 0.253
Pt2 Pt 0.500 0.102 0.747
Pt3 Pt 0.000 0.898 0.247
Pt4 Pt 0.000 0.898 0.753
Pt5 Pt 0.248 0.992 0.500
Pt6 Pt 0.752 0.992 0.500
Pt7 Pt 0.254 0.452 0.500
Pt8 Pt 0.746 0.452 0.500
Pt9 Pt 0.754 0.548 0.000
Pt10 Pt 0.246 0.548 0.000
Pt11 Pt 0.252 0.008 0.000
Pt12 Pt 0.748 0.008 0.000
# - Space group: No. 59
# - Size of the total moment: 0.00 μB/atom
# - Uncorrected energy: -6.258 eV/atom
# - DOS(E_F): 0.3952 states/eV/atom